## YLu2Mg (PBE-GGA)

Data for a geometry-optimized YLu2Mg structure.

abc: 7.7068 7.7068 7.7068
angles: 90.00 90.00 90.00
Space group Fm-3m (No. 225)
Asymmetric unit:
Y 0.0000 0.0000 0.0000 (multiplicity 4)
Lu 0.2500 0.2500 0.2500 (multiplicity 8)
Mg 0.0000 0.0000 0.5000 (multiplicity 4)

Results
As for the energy above the most stable polymorph in this dataset: 114 meV per atom. The formation energy is 97 meV per atom. Its crystal system is cubic. The energy is -16.71 eV per formula unit.

---

## Pm6Ir2PtI3 (PBE-GGA)

Data for a geometry-optimized Pm6Ir2PtI3 structure.

abc: 7.2974 12.6342 8.4167
angles: 90.00 106.80 90.00
Space group C2/m (No. 12)
Asymmetric unit:
Pm 0.2206 0.0000 0.1843 (multiplicity 4)
Pm 0.2319 0.3296 0.1846 (multiplicity 8)
Ir 0.0000 0.1667 0.0000 (multiplicity 4)
Pt 0.0000 0.5000 0.0000 (multiplicity 2)
I 0.0000 0.0000 0.5000 (multiplicity 2)
I 0.0000 0.3332 0.5000 (multiplicity 4)

Results
Its crystal system is monoclinic. As for the formation energy without anion corrections: -1.034 eV/atom. The energy is -69.33 eV per formula unit.

---

## Hf3MgPd4 (PBE-GGA)

Data for a geometry-optimized Hf3MgPd4 structure.

abc: 4.7883 4.7883 6.2638
angles: 90.00 90.00 90.00
Space group P4/mmm (No. 123)
Asymmetric unit:
Hf 0.0000 0.0000 0.0000 (multiplicity 1)
Hf 0.0000 0.0000 0.5000 (multiplicity 1)
Hf 0.5000 0.5000 0.0000 (multiplicity 1)
Mg 0.5000 0.5000 0.5000 (multiplicity 1)
Pd 0.0000 0.5000 0.2453 (multiplicity 4)

Results
As for the energy above the most stable polymorph in this dataset: 0 meV per atom. The formation energy is -654 meV per atom. Its crystal system is tetragonal. The energy is -57.46 eV per formula unit.